Entry from the Alexandria database: La2ZnMo after structural relaxation (PBE).

Calculated values
The calculation puts the formation energy at 0.212 eV/atom. For the density of states at the Fermi level, the calculation gives 1.098 states/eV/atom. For the spin magnetization, the calculation gives 1.10 μB/cell.

abc: 5.171 5.171 3.730
angles: 90.12 90.12 90.13
Fractional coordinates of all 4 atoms:
La 0.000 0.500 0.000
La 0.500 0.000 0.000
Zn 0.000 0.000 0.500
Mo 0.500 0.500 0.500

Entry from the Alexandria database: CePaRh2 after structural relaxation (PBE).

Calculated values
The calculation puts the formation energy at -0.663 eV/atom. For the density of states at the Fermi level, the calculation gives 1.977 states/eV/atom. For the spin magnetization, the calculation gives 1.10 μB/cell.

abc: 3.461 3.461 7.113
angles: 90.00 90.00 90.00
Fractional coordinates of all 4 atoms:
Ce 0.000 0.000 0.000
Pa 0.000 0.000 0.500
Rh 0.500 0.500 0.288
Rh 0.500 0.500 0.712

Entry from the Alexandria database: LiBeReSi2 after structural relaxation (PBE).

Calculated values
For the density of states at the Fermi level, the calculation gives 0.532 states/eV/atom. For the spin magnetization, the calculation gives 0.00 μB/cell. As for the uncorrected formation energy: 3.59 eV per formula unit.

abc: 4.170 4.170 4.129
angles: 90.00 90.00 90.00
Fractional coordinates of all 5 atoms:
Li 0.000 0.000 0.000
Be 0.500 0.500 0.500
Re 0.500 0.500 0.000
Si 0.000 0.500 0.500
Si 0.500 0.000 0.500

Entry from the Alexandria database: Rb2GeBrCl5 after structural relaxation (PBE).

Calculated values
For the density of states at the Fermi level, the calculation gives 0.000 states/eV/atom. For the spin magnetization, the calculation gives 0.00 μB/cell. As for the uncorrected formation energy: -11.90 eV per formula unit.

abc: 7.297 7.297 7.297
angles: 119.70 119.70 90.52
Fractional coordinates of all 9 atoms:
Rb 0.000 0.500 0.500
Rb 0.500 0.000 0.500
Ge 0.249 0.249 0.000
Br 0.493 0.493 0.000
Cl 0.022 0.022 0.000
Cl 0.024 0.024 0.549
Cl 0.024 0.475 0.000
Cl 0.475 0.024 0.000
Cl 0.475 0.475 0.451

Entry from the Alexandria database: Li5Cu2Pd12 after structural relaxation (PBE).

Calculated values
The calculation puts the formation energy at -0.035 eV/atom. For the density of states at the Fermi level, the calculation gives 0.834 states/eV/atom. For the spin magnetization, the calculation gives 0.00 μB/cell.

abc: 7.341 7.341 7.788
angles: 99.92 99.92 44.41
Fractional coordinates of all 19 atoms:
Li 0.000 0.000 0.000
Li 0.245 0.245 0.996
Li 0.364 0.364 0.601
Li 0.636 0.636 0.399
Li 0.755 0.755 0.004
Cu 0.272 0.728 0.500
Cu 0.728 0.272 0.500
Pd 0.046 0.543 0.346
Pd 0.060 0.060 0.755
Pd 0.142 0.628 0.865
Pd 0.372 0.858 0.135
Pd 0.440 0.440 0.193
Pd 0.457 0.954 0.654
Pd 0.543 0.046 0.346
Pd 0.560 0.560 0.807
Pd 0.628 0.142 0.865
Pd 0.858 0.372 0.135
Pd 0.940 0.940 0.245
Pd 0.954 0.457 0.654

Entry from the Alexandria database: Be2CdHgN after structural relaxation (PBE).

Calculated values
For the density of states at the Fermi level, the calculation gives 0.618 states/eV/atom. For the spin magnetization, the calculation gives 0.00 μB/cell. As for the uncorrected formation energy: 7.79 eV per formula unit.

abc: 4.709 4.709 4.151
angles: 90.00 90.00 90.00
Fractional coordinates of all 5 atoms:
Be 0.000 0.500 0.000
Be 0.500 0.000 0.000
Cd 0.000 0.000 0.000
Hg 0.500 0.500 0.500
N 0.000 0.000 0.500

Entry from the Alexandria database: Nd5SmEr12 after structural relaxation (PBE).

Calculated values
The calculation puts the formation energy at 0.100 eV/atom. For the density of states at the Fermi level, the calculation gives 1.696 states/eV/atom. For the spin magnetization, the calculation gives 0.00 μB/cell.

abc: 10.337 10.337 5.921
angles: 90.00 90.00 113.34
Fractional coordinates of all 18 atoms:
Nd 0.000 0.000 0.000
Nd 0.166 0.834 0.500
Nd 0.334 0.666 0.000
Nd 0.666 0.334 0.000
Nd 0.834 0.166 0.500
Sm 0.500 0.500 0.500
Er 0.011 0.344 0.051
Er 0.156 0.489 0.551
Er 0.179 0.179 0.447
Er 0.322 0.322 0.946
Er 0.344 0.011 0.051
Er 0.489 0.156 0.551
Er 0.511 0.844 0.449
Er 0.656 0.989 0.949
Er 0.678 0.678 0.054
Er 0.821 0.821 0.553
Er 0.844 0.511 0.449
Er 0.989 0.656 0.949

Entry from the Alexandria database: BP2PdCl after structural relaxation (PBE).

Calculated values
For the density of states at the Fermi level, the calculation gives 0.539 states/eV/atom. For the spin magnetization, the calculation gives 0.00 μB/cell. As for the uncorrected formation energy: 4.01 eV per formula unit.

abc: 4.049 4.049 4.594
angles: 90.00 90.00 90.00
Fractional coordinates of all 5 atoms:
B 0.000 0.000 0.000
P 0.000 0.500 0.000
P 0.500 0.000 0.000
Pd 0.500 0.500 0.500
Cl 0.000 0.000 0.500